No. 1
Material: ZrIn2Au
Method: DFT, PBEsol
State: relaxed

The energy of formation comes out at -164.3 kJ/mol of formula units. Its total energy is -5.17 eV per atom.

The structure belongs to space group P4/mmm (No. 123); the cell edges are 4.357, 4.357 and 4.203 Å and the angles 90.00°, 90.00° and 90.00°. The inequivalent atoms are Zr at (0.000, 0.000, 0.000), In at (0.000, 0.500, 0.500) and Au at (0.500, 0.500, 0.000).

---

No. 2
Material: Os3Se
Method: DFT, PBEsol
State: relaxed

The formation energy without anion corrections comes out at 0.858 eV per atom. Its total energy is -9.27 eV per atom.

The structure belongs to space group I4/mmm (No. 139); the cell edges are 3.965, 3.965 and 7.384 Å and the angles 90.00°, 90.00° and 90.00°. The inequivalent atoms are Os at (0.000, 0.000, 0.000), Os at (0.000, 0.500, 0.250) and Se at (0.000, 0.000, 0.500).